Record 1
A relaxed structure of LiCu2As. Source: Alexandria, functional PBE.

Cell: 4.474 4.474 4.474 Å, 128.48 128.48 75.84°
Positions (direct):
Li 0.000 0.000 0.000
Cu 0.250 0.750 0.500
Cu 0.500 0.500 0.000
As 0.750 0.250 0.500

Properties
The calculated formation energy comes out at -163.5 meV per atom. As for the density: 6.5 g/cm³. The space group is I-4m2, No. 119. The size of the total moment comes out at 0.0 μB/f.u.

***

Record 2
A relaxed structure of CsC. Source: Alexandria, functional PBE.

Cell: 14.288 14.288 2.922 Å, 90.00 90.00 90.00°
Positions (direct):
Cs 0.070 0.751 0.000
Cs 0.249 0.070 0.000
Cs 0.282 0.407 0.500
Cs 0.407 0.718 0.500
Cs 0.593 0.282 0.500
Cs 0.718 0.593 0.500
Cs 0.751 0.930 0.000
Cs 0.930 0.249 0.000
C 0.209 0.615 0.500
C 0.223 0.602 0.000
C 0.385 0.209 0.500
C 0.398 0.223 0.000
C 0.602 0.777 0.000
C 0.615 0.791 0.500
C 0.777 0.398 0.000
C 0.791 0.385 0.500

Properties
The calculated formation energy comes out at 1118.0 meV per atom. As for the density: 3.2 g/cm³. The space group is P4/m, No. 83. The calculation puts the relative energy among the computed polymorphs at 809 meV per atom. The size of the total moment comes out at 0.1 μB/f.u.

***

Record 3
A relaxed structure of BaCeInAg. Source: Alexandria, functional PBE.

Cell: 5.667 5.667 5.667 Å, 60.00 60.00 60.00°
Positions (direct):
Ba 0.000 0.000 0.000
Ce 0.500 0.500 0.500
In 0.750 0.750 0.750
Ag 0.250 0.250 0.250

Properties
The calculated formation energy comes out at -128.4 meV per atom. As for the density: 6.5 g/cm³. The space group is F-43m, No. 216. The size of the total moment comes out at 1.0 μB/f.u.

***

Record 4
A relaxed structure of Ba2Zn4Cd3In. Source: Alexandria, functional PBE.

Cell: 4.772 4.772 11.449 Å, 90.00 90.00 90.00°
Positions (direct):
Ba 0.000 0.500 0.244
Ba 0.500 0.000 0.756
Zn 0.000 0.000 0.000
Zn 0.000 0.500 0.634
Zn 0.500 0.000 0.366
Zn 0.500 0.500 0.000
Cd 0.000 0.500 0.877
Cd 0.500 0.000 0.123
Cd 0.500 0.500 0.500
In 0.000 0.000 0.500

Properties
The calculated formation energy comes out at -224.6 meV per atom. As for the density: 6.3 g/cm³. The space group is P-4m2, No. 115. The size of the total moment comes out at 0.0 μB/f.u.

***

Record 5
A relaxed structure of Tb2PmYEr5. Source: Alexandria, functional PBE.

Cell: 9.676 9.676 9.676 Å, 125.58 125.58 80.58°
Positions (direct):
Tb 0.113 0.613 0.727
Tb 0.387 0.113 0.500
Tb 0.613 0.887 0.500
Tb 0.887 0.387 0.273
Pm 0.250 0.250 0.000
Pm 0.750 0.750 0.000
Y 0.250 0.750 0.500
Y 0.750 0.250 0.500
Er 0.000 0.000 0.000
Er 0.074 0.160 0.500
Er 0.160 0.660 0.086
Er 0.340 0.426 0.500
Er 0.426 0.926 0.086
Er 0.500 0.500 0.000
Er 0.574 0.074 0.914
Er 0.660 0.574 0.500
Er 0.840 0.340 0.914
Er 0.926 0.840 0.500

Properties
The calculated formation energy comes out at 285.8 meV per atom. As for the density: 8.0 g/cm³. The space group is I4/mcm, No. 140. The size of the total moment comes out at 0.0 μB/f.u.

***

Record 6
A relaxed structure of AlTcPb2. Source: Alexandria, functional PBE.

Cell: 5.294 5.294 5.138 Å, 96.88 96.88 37.12°
Positions (direct):
Al 0.000 0.000 0.000
Tc 0.500 0.500 0.500
Pb 0.233 0.233 0.738
Pb 0.767 0.767 0.262

Properties
The calculated formation energy comes out at 617.0 meV per atom. As for the density: 10.4 g/cm³. The space group is C2/m, No. 12. The size of the total moment comes out at 0.5 μB/f.u.

***

Record 7
A relaxed structure of Er3TlSn2. Source: Alexandria, functional PBE.

Cell: 8.801 8.801 6.324 Å, 100.61 100.61 41.77°
Positions (direct):
Er 0.123 0.877 0.750
Er 0.214 0.444 0.405
Er 0.444 0.214 0.905
Er 0.556 0.786 0.095
Er 0.786 0.556 0.595
Er 0.877 0.123 0.250
Tl 0.380 0.620 0.250
Tl 0.620 0.380 0.750
Sn 0.054 0.273 0.066
Sn 0.273 0.054 0.566
Sn 0.727 0.946 0.434
Sn 0.946 0.727 0.934

Properties
The calculated formation energy comes out at -498.1 meV per atom. As for the density: 9.8 g/cm³. The space group is C2/c, No. 15. The size of the total moment comes out at 0.0 μB/f.u.

***

Record 8
A relaxed structure of GaHRu. Source: Alexandria, functional PBE.

Cell: 4.408 4.408 4.408 Å, 135.04 135.04 65.46°
Positions (direct):
Ga 0.000 0.000 0.000
H 0.358 0.358 0.000
Ru 0.571 0.571 0.000

Properties
As for the density: 6.8 g/cm³. The space group is I4mm, No. 107. The calculation puts the relative energy among the computed polymorphs at 476 meV per atom. The size of the total moment comes out at 0.0 μB/f.u.

***

Record 9
A relaxed structure of BaNp3S7. Source: Alexandria, functional PBE.

Cell: 6.519 6.519 6.955 Å, 103.65 103.65 94.76°
Positions (direct):
Ba 0.000 0.000 0.000
Np 0.275 0.725 0.500
Np 0.500 0.500 0.000
Np 0.725 0.275 0.500
S 0.000 0.000 0.500
S 0.126 0.530 0.757
S 0.359 0.359 0.270
S 0.470 0.874 0.243
S 0.530 0.126 0.757
S 0.641 0.641 0.730
S 0.874 0.470 0.243

Properties
The uncorrected formation energy is -1.394 eV/atom. As for the density: 6.5 g/cm³. The space group is C2/m, No. 12. The size of the total moment comes out at 9.0 μB/f.u.

***

Record 10
A relaxed structure of La4Pm6Y. Source: Alexandria, functional PBE.

Cell: 9.659 9.659 9.659 Å, 137.91 137.91 61.05°
Positions (direct):
La 0.008 0.631 0.000
La 0.369 0.369 0.377
La 0.631 0.008 0.000
La 0.992 0.992 0.623
Pm 0.000 0.500 0.500
Pm 0.220 0.220 0.664
Pm 0.444 0.780 0.000
Pm 0.500 0.000 0.500
Pm 0.556 0.556 0.336
Pm 0.780 0.444 0.000
Y 0.000 0.000 0.000

Properties
The calculated formation energy comes out at 269.5 meV per atom. As for the density: 6.3 g/cm³. The space group is I-42m, No. 121. The calculation puts the relative energy among the computed polymorphs at 0 meV per atom. The size of the total moment comes out at 0.0 μB/f.u.

***

Record 11
A relaxed structure of Ni5Ir. Source: Alexandria, functional PBE.

Cell: 4.637 4.637 4.637 Å, 60.00 60.00 60.00°
Positions (direct):
Ni 0.000 0.000 0.000
Ni 0.124 0.625 0.625
Ni 0.625 0.124 0.625
Ni 0.625 0.625 0.124
Ni 0.625 0.625 0.625
Ir 0.250 0.250 0.250

Properties
The calculated formation energy comes out at 161.2 meV per atom. As for the density: 11.4 g/cm³. The space group is F-43m, No. 216. The calculation puts the relative energy among the computed polymorphs at 144 meV per atom. The size of the total moment comes out at 4.2 μB/f.u.

***

Record 12
A relaxed structure of Y2ZrCr. Source: Alexandria, functional PBE.

Cell: 6.200 6.200 6.200 Å, 146.25 129.96 61.73°
Positions (direct):
Y 0.000 0.000 0.000
Y 0.714 0.214 0.500
Zr 0.289 0.789 0.500
Cr 0.483 0.483 0.000

Properties
The calculated formation energy comes out at 237.7 meV per atom. As for the density: 5.3 g/cm³. The space group is Imm2, No. 44. The calculation puts the relative energy among the computed polymorphs at 6 meV per atom. The size of the total moment comes out at 2.8 μB/f.u.

***

Record 13
A relaxed structure of SrW2Br. Source: Alexandria, functional PBE.

Cell: 13.369 13.369 13.369 Å, 163.10 163.10 23.98°
Positions (direct):
Sr 0.000 0.000 0.000
Sr 0.750 0.250 0.500
W 0.079 0.125 0.454
W 0.375 0.921 0.046
W 0.671 0.625 0.546
W 0.875 0.329 0.954
Br 0.250 0.750 0.500
Br 0.500 0.500 0.000

Properties
The uncorrected formation energy is 0.863 eV/atom. As for the density: 8.8 g/cm³. The space group is I-42d, No. 122. The calculation puts the relative energy among the computed polymorphs at 631 meV per atom. The size of the total moment comes out at 0.0 μB/f.u.

***

Record 14
A relaxed structure of NaSc3Cd. Source: Alexandria, functional PBE.

Cell: 5.428 5.428 5.428 Å, 90.00 90.00 90.00°
Positions (direct):
Na 0.000 0.000 0.000
Sc 0.000 0.500 0.500
Sc 0.500 0.000 0.500
Sc 0.500 0.500 0.000
Cd 0.500 0.500 0.500

Properties
The calculated formation energy comes out at 545.3 meV per atom. As for the density: 2.8 g/cm³. The space group is Pm-3m, No. 221. The calculation puts the relative energy among the computed polymorphs at 0 meV per atom. The size of the total moment comes out at 1.9 μB/f.u.